Record 1
# LiZrSb (PBE, relaxed)
data_LiZrSb
_symmetry_space_group_name_H-M 'I 4 m m'
_symmetry_Int_Tables_number 107
_symmetry_space_group_name_Hall 'I 4 -2'
_cell_length_a 3.505
_cell_length_b 3.505
_cell_length_c 9.989
_cell_angle_alpha 90.00
_cell_angle_beta 90.00
_cell_angle_gamma 90.00
loop_
_atom_site_label
_atom_site_type_symbol
_atom_site_fract_x
_atom_site_fract_y
_atom_site_fract_z
Li1 Li 0.000 0.000 0.000
Zr1 Zr 0.000 0.000 0.683
Sb1 Sb 0.000 0.000 0.372
# - total moment (μB per formula unit) = 0.0
# - uncorrected formation energy (eV/atom) = -0.202
# - energy above the lowest structure with this stoichiometry (eV/atom) = 0.444

=====

Record 2
# CaTc (PBE, relaxed)
data_CaTc
_symmetry_space_group_name_H-M 'F -4 3 m'
_symmetry_Int_Tables_number 216
_symmetry_space_group_name_Hall 'F -4 2 3'
_cell_length_a 6.616
_cell_length_b 6.616
_cell_length_c 6.616
_cell_angle_alpha 90.00
_cell_angle_beta 90.00
_cell_angle_gamma 90.00
loop_
_atom_site_label
_atom_site_type_symbol
_atom_site_fract_x
_atom_site_fract_y
_atom_site_fract_z
Ca1 Ca 0.000 0.000 0.000
Tc1 Tc 0.250 0.250 0.250
# - total moment (μB per formula unit) = 3.0
# - E_form (meV per atom) = 2377
# - energy above the lowest structure with this stoichiometry (eV/atom) = 2.164

=====

Record 3
# Dy4CuAgHg2 (PBE, relaxed)
data_Dy4CuAgHg2
_symmetry_space_group_name_H-M 'R -3 m'
_symmetry_Int_Tables_number 166
_symmetry_space_group_name_Hall '-R 3 2"'
_cell_length_a 5.1612
_cell_length_b 5.1612
_cell_length_c 25.2262
_cell_angle_alpha 90.00
_cell_angle_beta 90.00
_cell_angle_gamma 120.00
loop_
_atom_site_label
_atom_site_type_symbol
_atom_site_fract_x
_atom_site_fract_y
_atom_site_fract_z
Dy1 Dy 0.0000 0.0000 0.1216
Dy2 Dy 0.0000 0.0000 0.3718
Cu1 Cu 0.0000 0.0000 0.0000
Ag1 Ag 0.0000 0.0000 0.5000
Hg1 Hg 0.0000 0.0000 0.2480
# - total moment (μB per formula unit) = 0.0
# - E_form (meV per atom) = -369

=====

Record 4
# CaBiBW2 (PBE, relaxed)
data_CaBiBW2
_symmetry_space_group_name_H-M 'P 4/m m m'
_symmetry_Int_Tables_number 123
_symmetry_space_group_name_Hall '-P 4 2'
_cell_length_a 4.784
_cell_length_b 4.784
_cell_length_c 5.509
_cell_angle_alpha 90.00
_cell_angle_beta 90.00
_cell_angle_gamma 90.00
loop_
_atom_site_label
_atom_site_type_symbol
_atom_site_fract_x
_atom_site_fract_y
_atom_site_fract_z
Ca1 Ca 0.000 0.000 0.000
Bi1 Bi 0.000 0.000 0.500
B1 B 0.500 0.500 0.500
W1 W 0.000 0.500 0.000
# - total moment (μB per formula unit) = 1.2
# - E_form (meV per atom) = 3559

=====

Record 5
# Tb3ThSe4 (PBE, relaxed)
data_Tb3ThSe4
_symmetry_space_group_name_H-M 'C m m m'
_symmetry_Int_Tables_number 65
_symmetry_space_group_name_Hall '-C 2 2'
_cell_length_a 8.318
_cell_length_b 11.677
_cell_length_c 4.086
_cell_angle_alpha 90.00
_cell_angle_beta 90.00
_cell_angle_gamma 90.00
loop_
_atom_site_label
_atom_site_type_symbol
_atom_site_fract_x
_atom_site_fract_y
_atom_site_fract_z
Tb1 Tb 0.000 0.000 0.000
Tb2 Tb 0.250 0.250 0.500
Th1 Th 0.000 0.500 0.000
Se1 Se 0.000 0.246 0.000
Se2 Se 0.242 0.000 0.500
# - total moment (μB per formula unit) = 0.0
# - uncorrected formation energy (eV/atom) = -1.702

=====

Record 6
# PrDyAu (PBE, relaxed)
data_PrDyAu
_symmetry_space_group_name_H-M 'P 3 m 1'
_symmetry_Int_Tables_number 156
_symmetry_space_group_name_Hall 'P 3 -2"'
_cell_length_a 4.9411
_cell_length_b 4.9411
_cell_length_c 4.0378
_cell_angle_alpha 90.00
_cell_angle_beta 90.00
_cell_angle_gamma 120.00
loop_
_atom_site_label
_atom_site_type_symbol
_atom_site_fract_x
_atom_site_fract_y
_atom_site_fract_z
Pr1 Pr 0.0000 0.0000 0.0000
Dy1 Dy 0.6667 0.3333 0.4732
Au1 Au 0.3333 0.6667 0.6427
# - total moment (μB per formula unit) = 0.0
# - E_form (meV per atom) = -393
# - energy above the lowest structure with this stoichiometry (eV/atom) = 0.197

=====

Record 7
# Cd2MoH (PBE, relaxed)
data_Cd2MoH
_symmetry_space_group_name_H-M 'I -4 2 d'
_symmetry_Int_Tables_number 122
_symmetry_space_group_name_Hall 'I -4 2bw'
_cell_length_a 8.988
_cell_length_b 8.988
_cell_length_c 3.482
_cell_angle_alpha 90.00
_cell_angle_beta 90.00
_cell_angle_gamma 90.00
loop_
_atom_site_label
_atom_site_type_symbol
_atom_site_fract_x
_atom_site_fract_y
_atom_site_fract_z
Cd1 Cd 0.116 0.250 0.125
Mo1 Mo 0.000 0.000 0.500
H1 H 0.000 0.000 0.000
# - total moment (μB per formula unit) = 1.6
# - energy above the lowest structure with this stoichiometry (eV/atom) = 0.000

=====

Record 8
# HfMoC2 (PBE, relaxed)
data_HfMoC2
_symmetry_space_group_name_H-M 'P 4/m m m'
_symmetry_Int_Tables_number 123
_symmetry_space_group_name_Hall '-P 4 2'
_cell_length_a 3.191
_cell_length_b 3.191
_cell_length_c 4.484
_cell_angle_alpha 90.00
_cell_angle_beta 90.00
_cell_angle_gamma 90.00
loop_
_atom_site_label
_atom_site_type_symbol
_atom_site_fract_x
_atom_site_fract_y
_atom_site_fract_z
Hf1 Hf 0.000 0.000 0.000
Mo1 Mo 0.500 0.500 0.500
C1 C 0.000 0.000 0.500
C2 C 0.500 0.500 0.000
# - total moment (μB per formula unit) = 0.0
# - E_form (meV per atom) = -351
# - energy above the lowest structure with this stoichiometry (eV/atom) = 0.089